(1)
Compound: SmY3In
Source: the Alexandria database
Functional: PBE
Structure: optimized geometry

Output
The electronic total energy comes out at -111.098 eV for the cell shown. Its energy of formation is -89 kJ/mol of formula units. For the size of the total moment, the calculation gives 0.0 μB per formula unit.

a = 9.494 Å, b = 8.622 Å, c = 8.622 Å
α = 79.01°, β = 111.50°, γ = 111.50°
Positions (direct):
Y: 0.571 0.098 0.354
Y: 0.147 0.971 0.220
Y: 0.429 0.902 0.646
Y: 0.071 0.354 0.098
Y: 0.435 0.395 0.150
Y: 0.565 0.605 0.850
Y: 0.353 0.780 0.029
Y: 0.935 0.150 0.395
Y: 0.853 0.029 0.780
Y: 0.929 0.646 0.902
Y: 0.065 0.850 0.605
Y: 0.647 0.220 0.971
Sm: 0.854 0.532 0.282
Sm: 0.354 0.282 0.532
Sm: 0.146 0.468 0.718
Sm: 0.646 0.718 0.468
In: 0.750 0.879 0.121
In: 0.250 0.630 0.370
In: 0.250 0.121 0.879
In: 0.750 0.370 0.630

---

(2)
Compound: SmY2In3
Source: the Alexandria database
Functional: PBE
Structure: optimized geometry

Output
The electronic total energy comes out at -57.009 eV for the cell shown. Its energy of formation is -255 kJ/mol of formula units. The value obtained for the energy above the lowest structure with this stoichiometry is 57 meV/atom. For the size of the total moment, the calculation gives 0.0 μB per formula unit.

a = 6.469 Å, b = 6.553 Å, c = 8.646 Å
α = 102.42°, β = 111.97°, γ = 90.00°
Positions (direct):
In: 0.287 0.050 0.333
In: 0.953 0.450 0.667
In: 0.713 0.950 0.667
In: 0.629 0.250 0.000
In: 0.047 0.550 0.333
In: 0.371 0.750 0.000
Y: 0.554 0.586 0.340
Y: 0.786 0.086 0.340
Y: 0.214 0.914 0.660
Y: 0.446 0.414 0.660
Sm: 0.129 0.250 0.000
Sm: 0.871 0.750 0.000

---

(3)
Compound: Sm6Y12In
Source: the Alexandria database
Functional: PBE
Structure: optimized geometry

Output
The electronic total energy comes out at -107.509 eV for the cell shown. Its energy of formation is 107 kJ/mol of formula units. The value obtained for the energy above the lowest structure with this stoichiometry is 0 meV/atom. For the size of the total moment, the calculation gives 0.0 μB per formula unit.

a = 8.533 Å, b = 8.533 Å, c = 8.533 Å
α = 88.89°, β = 88.89°, γ = 88.89°
Positions (direct):
Sm: 0.093 0.701 0.259
Sm: 0.299 0.741 0.907
Sm: 0.259 0.093 0.701
Sm: 0.701 0.259 0.093
Sm: 0.907 0.299 0.741
Sm: 0.741 0.907 0.299
Y: 0.780 0.539 0.436
Y: 0.816 0.639 0.986
Y: 0.436 0.780 0.539
Y: 0.361 0.014 0.184
Y: 0.986 0.816 0.639
Y: 0.220 0.461 0.564
Y: 0.639 0.986 0.816
Y: 0.539 0.436 0.780
Y: 0.014 0.184 0.361
Y: 0.564 0.220 0.461
Y: 0.184 0.361 0.014
Y: 0.461 0.564 0.220
In: 0.000 0.000 0.000